Entry w
Compound: HgSe2Cl
Source: the Alexandria database
Functional: PBEsol
Structure: optimized geometry

Properties
- Theoretical density: 6.8 g cm⁻³
- Total magnetic moment: 0.00 μB per atom

Cell: 3.783 3.783 7.234 Å, 105.05 105.05 90.43°
Element x y z (fractional)
1 Hg 0.000 0.000 0.000
2 Se 0.500 0.000 0.500
3 Se 0.000 0.500 0.500
4 Cl 0.500 0.500 0.000

Entry x
Compound: HgSe2Cl
Source: the Alexandria database
Functional: PBEsol
Structure: optimized geometry

Properties
- Theoretical density: 6.5 g cm⁻³
- Total magnetic moment: 0.00 μB per atom

Cell: 3.854 4.100 7.348 Å, 100.83 90.00 118.04°
Element x y z (fractional)
1 Hg 0.731 0.462 0.249
2 Se 0.062 0.124 0.998
3 Se 0.259 0.519 0.796
4 Cl 0.447 0.895 0.457

Q: Which of them is the most stable? A: entry x.

Entry w
Compound: SiHg2Cl
Source: the Alexandria database
Functional: PBEsol
Structure: optimized geometry

Properties
- Theoretical density: 8.4 g cm⁻³
- Total magnetic moment: 0.00 μB per atom

Cell: 3.103 4.763 6.682 Å, 111.08 90.00 90.00°
Element x y z (fractional)
1 Cl 0.500 0.500 0.500
2 Hg 0.000 0.183 0.868
3 Hg 0.000 0.817 0.132
4 Si 0.500 0.000 0.500

Entry x
Compound: SiHg2Cl
Source: the Alexandria database
Functional: PBEsol
Structure: optimized geometry

Properties
- Theoretical density: 8.4 g cm⁻³
- Total magnetic moment: 0.00 μB per atom

Cell: 3.100 5.167 6.517 Å, 111.65 90.00 107.46°
Element x y z (fractional)
1 Cl 0.199 0.398 0.627
2 Hg 0.047 0.094 0.010
3 Hg 0.840 0.680 0.238
4 Si 0.413 0.827 0.625

Q: Which of them is the most stable? A: entry x.

Entry w
Compound: Si2HgCl
Source: the Alexandria database
Functional: PBEsol
Structure: optimized geometry

Properties
- Theoretical density: 6.4 g cm⁻³
- Total magnetic moment: 0.00 μB per atom

Cell: 2.833 4.707 5.656 Å, 90.00 90.00 90.00°
Element x y z (fractional)
1 Cl 0.500 0.500 0.000
2 Hg 0.500 0.500 0.500
3 Si 0.000 0.000 0.763
4 Si 0.000 0.000 0.237

Entry x
Compound: Si2HgCl
Source: the Alexandria database
Functional: PBEsol
Structure: optimized geometry

Properties
- Theoretical density: 4.8 g cm⁻³
- Total magnetic moment: 0.00 μB per atom

Cell: 5.570 5.570 7.624 Å, 111.43 111.43 90.00°
Element x y z (fractional)
1 Si 0.358 0.875 0.250
2 Si 0.892 0.375 0.250
3 Si 0.125 0.108 0.750
4 Si 0.625 0.642 0.750
5 Hg 0.250 0.750 0.500
6 Hg 0.000 0.000 0.000
7 Cl 0.750 0.250 0.500
8 Cl 0.500 0.500 0.000

Q: Which of them is the most stable? A: entry w.

Entry w
Compound: Sr2HgCl
Source: the Alexandria database
Functional: PBEsol
Structure: optimized geometry

Properties
- Theoretical density: 5.3 g cm⁻³
- Total magnetic moment: 0.00 μB per atom

Cell: 4.444 4.444 6.501 Å, 90.00 90.00 90.00°
Element x y z (fractional)
1 Sr 0.000 0.000 0.500
2 Sr 0.500 0.500 0.000
3 Hg 0.500 0.500 0.500
4 Cl 0.000 0.000 0.000

Entry x
Compound: Sr2HgCl
Source: the Alexandria database
Functional: PBEsol
Structure: optimized geometry

Properties
- Theoretical density: 5.6 g cm⁻³
- Total magnetic moment: 0.12 μB per atom

Cell: 5.559 5.559 5.559 Å, 60.00 60.00 60.00°
Site moments in Bohr magnetons follow the coordinates.
Element x y z (fractional)
1 Sr 0.250 0.250 0.250  0.04
2 Sr 0.750 0.750 0.750  0.04
3 Hg 0.500 0.500 0.500  0.05
4 Cl 0.000 0.000 0.000  0.01

Entry y
Compound: Sr2HgCl
Source: the Alexandria database
Functional: PBEsol
Structure: optimized geometry

Properties
- Theoretical density: 5.4 g cm⁻³
- Total magnetic moment: 0.00 μB per atom

Cell: 5.638 5.638 5.638 Å, 60.00 60.00 60.00°
Element x y z (fractional)
1 Sr 0.000 0.000 0.000
2 Sr 0.750 0.750 0.750
3 Hg 0.250 0.250 0.250
4 Cl 0.500 0.500 0.500

Q: Which of them is the most stable? A: entry w.

Entry w
Compound: HgTeCl
Source: the Alexandria database
Functional: PBEsol
Structure: optimized geometry

Properties
- Theoretical density: 7.3 g cm⁻³
- Total magnetic moment: 0.00 μB per atom

Cell: 4.885 4.885 4.885 Å, 60.00 60.00 60.00°
Element x y z (fractional)
1 Te 0.000 0.000 0.000
2 Hg 0.250 0.250 0.250
3 Cl 0.500 0.500 0.500

Entry x
Compound: HgTeCl
Source: the Alexandria database
Functional: PBEsol
Structure: optimized geometry

Properties
- Theoretical density: 8.1 g cm⁻³
- Total magnetic moment: 0.00 μB per atom

Cell: 3.348 3.348 7.024 Å, 103.79 103.79 90.00°
Element x y z (fractional)
1 Te 0.315 0.315 0.630
2 Hg 0.653 0.653 0.307
3 Cl 0.032 0.032 0.063

Q: Which of them is the most stable? A: entry x.

Entry w
Compound: TlHg2Cl
Source: the Alexandria database
Functional: PBEsol
Structure: optimized geometry

Properties
- Theoretical density: 9.9 g cm⁻³
- Total magnetic moment: 0.00 μB per atom

Cell: 3.874 3.874 7.172 Å, 90.00 90.00 90.00°
Element x y z (fractional)
1 Tl 0.000 0.000 0.537
2 Hg 0.000 0.000 0.016
3 Hg 0.500 0.500 0.222
4 Cl 0.500 0.500 0.725

Entry x
Compound: TlHg2Cl
Source: the Alexandria database
Functional: PBEsol
Structure: optimized geometry

Properties
- Theoretical density: 9.7 g cm⁻³
- Total magnetic moment: 0.00 μB per atom

Cell: 4.428 4.066 6.469 Å, 90.00 110.38 90.00°
Element x y z (fractional)
1 Tl 0.854 0.000 0.583
2 Hg 0.116 0.000 0.108
3 Hg 0.637 0.500 0.148
4 Cl 0.393 0.500 0.661

Entry y
Compound: TlHg2Cl
Source: the Alexandria database
Functional: PBEsol
Structure: optimized geometry

Properties
- Theoretical density: 10.3 g cm⁻³
- Total magnetic moment: 0.00 μB per atom

Cell: 5.257 5.257 5.283 Å, 60.16 60.16 60.00°
Element x y z (fractional)
1 Tl 0.500 0.500 0.499
2 Hg 0.000 0.000 0.000
3 Hg 0.750 0.750 0.751
4 Cl 0.250 0.250 0.250

Entry z
Compound: TlHg2Cl
Source: the Alexandria database
Functional: PBEsol
Structure: optimized geometry

Properties
- Theoretical density: 10.1 g cm⁻³
- Total magnetic moment: 0.00 μB per atom

Cell: 4.330 4.330 5.617 Å, 90.00 90.00 90.00°
Element x y z (fractional)
1 Tl 0.500 0.500 0.500
2 Hg 0.000 0.500 0.000
3 Hg 0.500 0.000 0.000
4 Cl 0.000 0.000 0.500

Q: Which of them is the most stable? A: entry x.